Entry 1:
10
Lattice="7.546 0.000 0.000 0.000 7.546 0.000 0.000 0.000 4.210" Properties=species:S:1:pos:R:3 comment="PBE-GGA AgPb2Au2, optimized geometry" space_group="No. 127" total_energy_ev_per_atom=-3.3725 relative_energy_kj_per_mol_atoms=0.0 crystal_system=tetragonal pbc="T T T"
Ag 0.000 0.000 0.000
Ag 3.773 3.773 0.000
Pb 1.262 2.511 2.105
Pb 2.511 6.284 2.105
Pb 5.035 1.262 2.105
Pb 6.284 5.035 2.105
Au 1.040 4.813 0.000
Au 2.733 1.040 0.000
Au 4.813 6.506 0.000
Au 6.506 2.733 0.000


Entry 2:
4
Lattice="0.000 3.650 3.650 3.650 0.000 3.650 3.650 3.650 0.000" Properties=species:S:1:pos:R:3 comment="PBE-GGA AgPb2Au, optimized geometry" space_group="No. 225" total_energy_ev_per_atom=-3.3460 relative_energy_kj_per_mol_atoms=6.0 crystal_system=cubic pbc="T T T"
Ag 0.000 0.000 0.000
Pb 1.825 1.825 1.825
Pb 5.475 5.475 5.475
Au 3.650 3.650 3.650


Entry 3:
12
Lattice="4.607 -6.754 0.000 4.607 6.754 0.000 -2.904 0.000 5.309" Properties=species:S:1:pos:R:3 comment="PBE-GGA AgPb4Au, optimized geometry" space_group="No. 15" total_energy_ev_per_atom=-3.4791 relative_energy_kj_per_mol_atoms=5.4 crystal_system=monoclinic pbc="T T T"
Ag 2.428 6.607 3.982
Ag 3.881 -6.607 1.327
Pb 2.256 4.254 2.058
Pb 2.231 0.913 1.126
Pb 5.505 4.254 0.597
Pb 0.779 -0.913 3.780
Pb 5.530 0.913 1.529
Pb 0.804 -4.254 4.712
Pb 4.078 -0.913 4.183
Pb 4.053 -4.254 3.251
Au 2.428 1.831 3.982
Au 3.881 -1.831 1.327


Entry 4:
8
Lattice="-2.328 2.328 9.740 2.328 -2.328 9.740 2.328 2.328 -9.740" Properties=species:S:1:pos:R:3 comment="PBE-GGA AgPb2Au, optimized geometry" space_group="No. 122" total_energy_ev_per_atom=-3.2049 relative_energy_kj_per_mol_atoms=19.6 crystal_system=tetragonal pbc="T T T"
Ag 0.000 0.000 0.000
Ag 0.000 2.328 4.870
Pb 1.164 -1.161 7.305
Pb 1.167 1.164 2.435
Pb 1.164 3.488 -2.435
Pb 1.161 1.164 12.175
Au 2.328 0.000 4.870
Au 0.000 0.000 9.740